Here is an optimized crystal structure of Mg4H3Ir3 from Alexandria via LeMat-Bulk. Energies are from GGA-PBE.

Summary:
* ΔE to the lowest computed polymorph: 0.099 eV/atom
* final energy: -4.57 eV/atom
* calculated volume: 12.70 Å³/atom

Cell: 4.8840 4.8887 5.6159 Å, 96.37 96.34 105.58°
With the nearest neighbours (Å) after each atom.
Space group P1 (No. 1)
One atom of each set of equivalent atoms:
Mg (0.0000, 0.0000, 0.0000)  1 H 2.13
Mg (0.1435, 0.1774, 0.5043)  3 H 2.52-2.65, 4 Ir 2.65-2.82, 1 Mg 2.82
Mg (0.5619, 0.4375, 0.9983)  1 H 2.14
Mg (0.7378, 0.5835, 0.5025)  3 H 2.53-2.66, 4 Ir 2.65-2.82, 1 Mg 2.82
H (0.0851, 0.5239, 0.8809)  2 Ir 1.81-1.86
H (0.5596, 0.9969, 0.9617)  2 Ir 1.76
H (0.6069, 0.0465, 0.5915)  2 Ir 1.73-1.90
Ir (0.1225, 0.5605, 0.2077)  1 H 1.81
Ir (0.3279, 0.7669, 0.7132)  3 H 1.76-1.90
Ir (0.5764, 0.0157, 0.2784)  2 H 1.73-1.76